Record 1
The following is a PBE-GGA calculation of an optimized crystal structure of SmSnPb2, from Alexandria via LeMat-Bulk.

Structure (POSCAR):
```
SmSnPb2
1.0
4.212 0.000 0.000
0.000 4.212 0.000
0.000 0.000 6.601
Sm Sn Pb
1 1 2
direct
0.000 0.000 0.000 Sm
0.000 0.000 0.500 Sn
0.500 0.500 0.253 Pb
0.500 0.500 0.747 Pb
```

* excess energy over the best structure of this formula in the dataset: 118 meV per atom

Record 2
The following is a PBE-GGA calculation of an optimized crystal structure of Sm5SnPb2, from Alexandria via LeMat-Bulk.

Structure (POSCAR):
```
Sm5SnPb2
1.0
-4.201 4.201 7.030
4.201 -4.201 7.030
4.201 4.201 -7.030
Sm Sn Pb
10 2 4
direct
0.000 0.000 0.000 Sm
0.007 0.507 0.818 Sm
0.189 0.007 0.500 Sm
0.311 0.811 0.818 Sm
0.493 0.311 0.500 Sm
0.500 0.500 0.000 Sm
0.507 0.689 0.500 Sm
0.689 0.189 0.182 Sm
0.811 0.993 0.500 Sm
0.993 0.493 0.182 Sm
0.250 0.250 0.000 Sn
0.750 0.750 0.000 Sn
0.142 0.358 0.500 Pb
0.358 0.858 0.216 Pb
0.642 0.142 0.784 Pb
0.858 0.642 0.500 Pb
```

* energy: -4.9056 eV/atom

Record 3
The following is a PBE-GGA calculation of an optimized crystal structure of Sm3SnPb2, from Alexandria via LeMat-Bulk.

Structure (POSCAR):
```
Sm3SnPb2
1.0
13.105 0.000 0.000
0.000 4.643 0.000
0.000 0.000 12.203
Sm Sn Pb
12 4 8
direct
0.052 0.250 0.116 Sm
0.125 0.750 0.562 Sm
0.242 0.250 0.788 Sm
0.258 0.750 0.288 Sm
0.375 0.250 0.062 Sm
0.448 0.750 0.616 Sm
0.552 0.250 0.384 Sm
0.625 0.750 0.938 Sm
0.742 0.250 0.712 Sm
0.758 0.750 0.212 Sm
0.875 0.250 0.438 Sm
0.948 0.750 0.884 Sm
0.119 0.250 0.378 Sn
0.381 0.750 0.878 Sn
0.619 0.250 0.122 Sn
0.881 0.750 0.622 Sn
0.014 0.250 0.717 Pb
0.185 0.750 0.012 Pb
0.315 0.250 0.512 Pb
0.486 0.750 0.217 Pb
0.514 0.250 0.783 Pb
0.685 0.750 0.488 Pb
0.815 0.250 0.988 Pb
0.986 0.750 0.283 Pb
```

* energy: -4.7532 eV/atom